Entry 1:
VASP calculation (PBE-GGA) on crystalline K3BMo at its relaxed geometry.

The structure belongs to space group Pm-3m (No. 221); the cell edges are 6.1153, 6.1153 and 6.1153 Å and the angles 90.00°, 90.00° and 90.00°. The inequivalent atoms are K at (0.0000, 0.0000, 0.5000), B at (0.0000, 0.0000, 0.0000) and Mo at (0.5000, 0.5000, 0.5000).

The uncorrected energy comes out at -0.090 hartree per atom. The formation energy is 1705 meV per atom. As for the mass density: 1627 kg/m³.

=====

Entry 2:
VASP calculation (PBE-GGA) on crystalline KBMo3 at its relaxed geometry.

The structure belongs to space group Pm-3m (No. 221); the cell edges are 4.4063, 4.4063 and 4.4063 Å and the angles 90.00°, 90.00° and 90.00°. The inequivalent atoms are K at (0.0000, 0.0000, 0.0000), B at (0.5000, 0.5000, 0.5000) and Mo at (0.0000, 0.5000, 0.5000).

The uncorrected energy comes out at -0.251 hartree per atom. The formation energy is 1231 meV per atom. As for the mass density: 6556 kg/m³.

=====

Entry 3:
VASP calculation (PBE-GGA) on crystalline KB3Mo at its relaxed geometry.

The structure belongs to space group Pm-3m (No. 221); the cell edges are 4.3112, 4.3112 and 4.3112 Å and the angles 90.00°, 90.00° and 90.00°. The inequivalent atoms are K at (0.0000, 0.0000, 0.0000), B at (0.0000, 0.5000, 0.5000) and Mo at (0.5000, 0.5000, 0.5000).

The uncorrected energy comes out at -0.200 hartree per atom. The formation energy is 963 meV per atom. As for the mass density: 3470 kg/m³.

=====

Entry 4:
VASP calculation (PBE-GGA) on crystalline KNbB2Mo at its relaxed geometry.

The structure belongs to space group P4/mmm (No. 123); the cell edges are 4.3254, 4.3254 and 4.9023 Å and the angles 90.00°, 90.00° and 90.00°. The inequivalent atoms are K at (0.0000, 0.0000, 0.0000), Nb at (0.0000, 0.0000, 0.5000), B at (0.0000, 0.5000, 0.5000) and Mo at (0.5000, 0.5000, 0.0000).

The uncorrected energy comes out at -0.170 hartree per atom. The formation energy is 2446 meV per atom. As for the mass density: 4518 kg/m³.